Record 1
The following is a PBE-GGA calculation of a relaxed structure of SrTe2HI, from the Alexandria database.

Values from the calculation:
Uncorrected energy ... -0.1123 Ha/atom
Crystal system ... tetragonal
ΔE to the lowest computed polymorph ... 0.0 meV per atom
D(E_F) ... 0.2184 states/eV/atom

Unit cell a=4.6378 b=4.6378 c=6.5707 alpha=90.00 beta=90.00 gamma=90.00
Fractional coordinates of all 5 atoms:
Sr (0.0000, 0.0000, 0.0000)
Te (0.0000, 0.5000, 0.5000)
Te (0.5000, 0.0000, 0.5000)
H (0.5000, 0.5000, 0.5000)
I (0.5000, 0.5000, 0.0000)

Record 2
The following is a PBE-GGA calculation of a relaxed structure of Sr2VHI, from the Alexandria database.

Values from the calculation:
Uncorrected energy ... -0.1230 Ha/atom
Crystal system ... tetragonal
D(E_F) ... 0.7513 states/eV/atom

Unit cell a=6.3738 b=6.3738 c=3.8383 alpha=90.00 beta=90.00 gamma=90.00
Fractional coordinates of all 5 atoms:
Sr (0.0000, 0.5000, 0.0000)
Sr (0.5000, 0.0000, 0.0000)
V (0.0000, 0.0000, 0.0000)
H (0.0000, 0.0000, 0.5000)
I (0.5000, 0.5000, 0.5000)